[1]
10
Lattice="8.999 0.000 0.000 0.000 8.999 0.000 0.000 0.000 3.276" Properties=species:S:1:pos:R:3 comment="RbSc2Hg2 GGA-PBE optimized geometry" space_group="P4/mbm (127)" magnetic_moment_mub_per_atom=0.0371 final_energy_ev_per_atom=-2.9186 polymorph_energy_mev_per_atom=0 pbc="T T T"
Sc 3.396 7.895 0.000
Sc 7.895 5.603 0.000
Sc 5.603 1.104 0.000
Sc 1.104 3.396 0.000
Hg 1.546 6.045 1.638
Hg 6.045 7.453 1.638
Hg 7.453 2.954 1.638
Hg 2.954 1.546 1.638
Rb 0.000 0.000 0.000
Rb 4.499 4.499 0.000

[2]
5
Lattice="-1.724 -1.662 -5.168 1.680 -5.320 1.150 -5.162 -1.176 2.100" Properties=species:S:1:pos:R:3 comment="RbScHg3 GGA-PBE optimized geometry" space_group="Pm-3m (221)" magnetic_moment_mub_per_atom=0.0000 final_energy_ev_per_atom=-1.6730 polymorph_energy_mev_per_atom=0 pbc="T T T"
Sc 0.000 0.000 0.000
Hg 0.840 -2.660 0.575
Hg -2.581 -0.588 1.050
Hg -0.862 -0.831 -2.584
Rb -2.603 -4.079 -0.959

[3]
5
Lattice="-1.679 3.576 -3.696 1.657 -3.304 -3.950 -4.969 -2.265 -3.894" Properties=species:S:1:pos:R:3 comment="RbSc2Hg2 GGA-PBE optimized geometry" space_group="I4/mmm (139)" magnetic_moment_mub_per_atom=0.2303 final_energy_ev_per_atom=-2.7102 polymorph_energy_mev_per_atom=208 pbc="T T T"
Sc -1.533 -0.601 -3.845
Sc -3.458 -1.392 -7.695
Hg -3.329 0.724 -5.706
Hg -1.661 -2.717 -5.833
Rb 0.000 0.000 0.000

[4]
8
Lattice="-0.717 12.047 4.437 -12.669 0.054 -2.195 -7.141 5.082 3.680" Properties=species:S:1:pos:R:3 comment="Rb2ScHg GGA-PBE optimized geometry" space_group="I-42d (122)" magnetic_moment_mub_per_atom=0.0000 final_energy_ev_per_atom=-1.7510 pbc="T T T"
Sc -6.693 6.051 1.121
Sc -13.252 5.593 1.303
Hg 0.000 0.000 0.000
Hg -7.276 11.590 4.619
Rb -3.918 10.498 4.041
Rb -10.410 13.166 3.916
Rb -8.597 8.342 3.908
Rb -6.178 14.353 6.608

[5]
12
Lattice="-0.745 4.177 1.181 -4.385 -3.001 7.846 10.689 1.364 1.913" Properties=species:S:1:pos:R:3 comment="RbScHgTe3 GGA-PBE optimized geometry" space_group="P2_1/m (11)" magnetic_moment_mub_per_atom=0.0000 final_energy_ev_per_atom=-3.6922 raw_formation_energy_ev_per_atom=-0.8546 pbc="T T T"
Rb 1.616 0.730 2.541
Rb 3.943 1.810 8.399
Sc -1.687 -0.779 5.794
Sc 7.246 3.319 5.146
Hg 6.015 1.646 2.075
Hg -0.455 0.894 8.865
Te -3.111 0.655 8.038
Te 8.670 1.886 2.902
Te 1.215 -0.604 7.005
Te 4.344 3.144 3.935
Te -1.027 1.938 4.815
Te 6.586 0.603 6.125

[6]
5
Lattice="5.402 0.000 0.000 0.000 6.357 0.000 0.000 0.000 5.402" Properties=species:S:1:pos:R:3 comment="RbSc2HgTe GGA-PBE optimized geometry" space_group="P4/mmm (123)" magnetic_moment_mub_per_atom=0.0001 final_energy_ev_per_atom=-3.1667 raw_formation_energy_ev_per_atom=0.2481 pbc="T T T"
Sc 0.000 0.000 2.701
Sc 2.701 0.000 0.000
Te 0.000 3.178 0.000
Hg 0.000 0.000 0.000
Rb 2.701 3.178 2.701

[7]
5
Lattice="5.354 0.000 0.000 0.000 5.391 0.000 0.000 0.000 5.354" Properties=species:S:1:pos:R:3 comment="RbScVHg2 GGA-PBE optimized geometry" space_group="P4/mmm (123)" magnetic_moment_mub_per_atom=0.4231 final_energy_ev_per_atom=-2.4740 pbc="T T T"
Sc 2.677 2.696 2.677
Hg 0.000 0.000 2.677
Hg 2.677 0.000 0.000
Rb 0.000 2.696 0.000
V 0.000 0.000 0.000

[8]
5
Lattice="-2.718 3.857 -2.668 -5.846 -1.630 3.601 1.352 3.597 3.823" Properties=species:S:1:pos:R:3 comment="RbScZn2Hg GGA-PBE optimized geometry" space_group="P4/mmm (123)" magnetic_moment_mub_per_atom=0.1774 final_energy_ev_per_atom=-1.4060 pbc="T T T"
Sc 0.000 0.000 0.000
Zn 0.676 1.799 1.912
Zn -1.359 1.929 -1.334
Hg -3.606 2.912 2.378
Rb -2.923 -0.815 1.801

[9]
4
Lattice="3.513 0.000 6.054 -1.757 3.043 6.054 -1.757 -3.043 6.054" Properties=species:S:1:pos:R:3 comment="RbHgSe2 GGA-PBE optimized geometry" space_group="R-3m (166)" magnetic_moment_mub_per_atom=0.0612 final_energy_ev_per_atom=-2.4179 raw_formation_energy_ev_per_atom=-0.3583 pbc="T T T"
Se 0.000 0.000 15.713
Se 0.000 0.000 2.448
Hg 0.000 0.000 0.000
Rb 0.000 0.000 9.080

[10]
8
Lattice="8.175 0.000 0.000 0.000 8.175 0.000 4.088 4.088 3.982" Properties=species:S:1:pos:R:3 comment="RbHgSe2 GGA-PBE optimized geometry" space_group="I-42d (122)" magnetic_moment_mub_per_atom=0.0000 final_energy_ev_per_atom=-2.5089 raw_formation_energy_ev_per_atom=-0.4493 pbc="T T T"
Se 6.821 2.044 0.996
Se 1.354 6.131 0.996
Se 6.131 5.442 2.987
Se 10.219 10.909 2.987
Hg 0.000 0.000 0.000
Hg 8.175 4.088 1.991
Rb 4.088 4.088 0.000
Rb 4.088 8.175 1.991

[11]
8
Lattice="4.314 -0.002 0.000 -2.138 6.663 -0.001 -0.007 -2.074 9.423" Properties=species:S:1:pos:R:3 comment="RbHg2Se GGA-PBE optimized geometry" space_group="P-1 (2)" magnetic_moment_mub_per_atom=0.0000 final_energy_ev_per_atom=-1.7295 raw_formation_energy_ev_per_atom=-0.4656 pbc="T T T"
Rb 2.165 2.951 8.319
Rb 0.005 1.637 1.103
Hg 2.168 5.271 3.367
Hg 0.002 -0.682 6.054
Hg 0.008 3.309 5.296
Hg 2.162 1.279 4.126
Se 0.012 5.082 1.663
Se 2.157 -0.494 7.758

[12]
8
Lattice="4.498 0.000 0.000 0.000 6.615 0.000 0.000 0.000 9.202" Properties=species:S:1:pos:R:3 comment="RbHg2Se GGA-PBE optimized geometry" space_group="Imm2 (44)" magnetic_moment_mub_per_atom=0.0000 final_energy_ev_per_atom=-1.6091 raw_formation_energy_ev_per_atom=-0.3452 pbc="T T T"
Rb 0.000 0.000 3.548
Rb 2.249 3.308 8.149
Hg 0.000 3.308 1.785
Hg 2.249 0.000 6.386
Hg 0.000 0.000 8.439
Hg 2.249 3.308 3.838
Se 0.000 3.308 5.423
Se 2.249 0.000 0.823

Repeat the first record exactly.
10
Lattice="8.999 0.000 0.000 0.000 8.999 0.000 0.000 0.000 3.276" Properties=species:S:1:pos:R:3 comment="RbSc2Hg2 GGA-PBE optimized geometry" space_group="P4/mbm (127)" magnetic_moment_mub_per_atom=0.0371 final_energy_ev_per_atom=-2.9186 polymorph_energy_mev_per_atom=0 pbc="T T T"
Sc 3.396 7.895 0.000
Sc 7.895 5.603 0.000
Sc 5.603 1.104 0.000
Sc 1.104 3.396 0.000
Hg 1.546 6.045 1.638
Hg 6.045 7.453 1.638
Hg 7.453 2.954 1.638
Hg 2.954 1.546 1.638
Rb 0.000 0.000 0.000
Rb 4.499 4.499 0.000